The following is a GGA-PBEsol calculation of a relaxed CuNiPt2 crystal, from Alexandria via LeMat-Bulk.

Cell and atoms, written as POSCAR:
```
CuNiPt2
1.0
2.685 -3.602 0.000
2.685 3.602 0.000
0.000 0.000 2.688
Cu Ni Pt
1 1 2
Direct
0.000 0.000 0.000 Cu
0.500 0.500 0.000 Ni
0.000 0.500 0.500 Pt
0.500 0.000 0.500 Pt
```

## Properties
Symmetry: Cmmm (65)
Calculated formation energy, eV per atom: -0.09
Electronic total energy, Ha/atom: -0.2278

=====

The following is a GGA-PBEsol calculation of a relaxed Cu2NiPt crystal, from Alexandria via LeMat-Bulk.

Cell and atoms, written as POSCAR:
```
Cu2NiPt
1.0
2.578 0.000 0.000
0.000 4.268 0.000
-0.223 0.000 4.444
Cu Ni Pt
2 1 1
Direct
0.225 0.000 0.259 Cu
0.775 0.000 0.741 Cu
0.000 0.500 0.500 Ni
0.500 0.500 0.000 Pt
```

## Properties
Symmetry: P2/m (10)
Calculated formation energy, eV per atom: -0.02
Electronic total energy, Ha/atom: -0.2008